Below is an optimized crystal structure of Li2NbZn, with properties calculated at the GGA-PBE level.

Calculated values
**Final energy**: -0.128 hartree per atom
**Calculated volume**: 14.92 Å³/atom

```
4
Lattice="0.000 3.102 3.102 3.102 0.000 3.102 3.102 3.102 0.000" Properties=species:S:1:pos:R:3 pbc="T T T"
Li 0.000 0.000 0.000
Li 1.551 1.551 1.551
Nb 4.653 4.653 4.653
Zn 3.102 3.102 3.102
```

Below is an optimized crystal structure of Dy4ErSe5, with properties calculated at the GGA-PBE level.

Calculated values
**Final energy**: -0.212 hartree per atom
**Calculated volume**: 23.62 Å³/atom

```
10
Lattice="-2.025 2.025 14.395 2.025 -2.025 14.395 2.025 2.025 -14.395" Properties=species:S:1:pos:R:3 pbc="T T T"
Dy 0.000 0.000 2.936
Dy 0.000 0.000 8.741
Dy 0.000 0.000 20.048
Dy 0.000 0.000 25.853
Er 0.000 0.000 14.395
Se 0.000 0.000 0.000
Se 0.000 0.000 5.822
Se 0.000 0.000 11.577
Se 0.000 0.000 17.212
Se 0.000 0.000 22.968
```

Below is an optimized crystal structure of HfNiW, with properties calculated at the GGA-PBE level.

Calculated values
**Final energy**: -0.335 hartree per atom
**ΔE_f**: 0.392 eV per atom
**E above lowest polymorph**: 0.0 kJ/mol of formula units
**Calculated volume**: 17.75 Å³/atom

```
3
Lattice="0.000 2.986 2.986 2.986 0.000 2.986 2.986 2.986 0.000" Properties=species:S:1:pos:R:3 pbc="T T T"
Hf 0.000 0.000 0.000
Ni 1.493 1.493 1.493
W 2.986 2.986 2.986
```

Below is an optimized crystal structure of ScZn2Co, with properties calculated at the GGA-PBE level.

Calculated values
**Final energy**: -0.153 hartree per atom
**ΔE_f**: -0.178 eV per atom
**Calculated volume**: 14.81 Å³/atom

```
4
Lattice="0.000 3.094 3.094 3.094 0.000 3.094 3.094 3.094 0.000" Properties=species:S:1:pos:R:3 pbc="T T T"
Sc 0.000 0.000 0.000
Zn 3.094 3.094 3.094
Zn 4.641 4.641 4.641
Co 1.547 1.547 1.547
```

Below is an optimized crystal structure of ZrUPt, with properties calculated at the GGA-PBE level.

Calculated values
**Final energy**: -0.308 hartree per atom
**ΔE_f**: 0.265 eV per atom
**E above lowest polymorph**: 99.2 kJ/mol of formula units
**Calculated volume**: 23.25 Å³/atom

```
3
Lattice="0.000 3.267 3.267 3.267 0.000 3.267 3.267 3.267 0.000" Properties=species:S:1:pos:R:3 pbc="T T T"
Zr 0.000 0.000 0.000
U 4.901 4.901 4.901
Pt 3.267 3.267 3.267
```

Below is an optimized crystal structure of Nb4Sb3W2C3, with properties calculated at the GGA-PBE level.

Calculated values
**Final energy**: -0.331 hartree per atom
**Calculated volume**: 15.72 Å³/atom

```
24
Lattice="5.007 -2.889 0.000 5.007 2.889 0.000 -3.279 0.000 13.045" Properties=species:S:1:pos:R:3 pbc="T T T"
Nb 0.837 0.445 1.145
Nb 0.833 0.504 5.374
Nb -0.803 -0.445 7.668
Nb -0.807 -0.504 11.897
Nb 7.541 0.504 1.148
Nb 7.537 0.445 5.377
Nb 5.902 -0.504 7.671
Nb 5.898 -0.445 11.900
Sb 4.187 2.321 3.261
Sb 0.949 0.436 9.786
Sb 2.589 -0.436 3.263
Sb 4.146 0.436 9.781
Sb 5.786 -0.436 3.259
Sb 2.548 -2.321 9.784
W 4.134 0.500 1.007
W 4.240 0.500 5.515
W 2.494 -0.500 7.530
W 2.601 -0.500 12.038
C 2.503 1.444 0.000
C 2.554 1.409 6.519
C 5.820 1.409 0.003
C 0.864 -1.444 6.522
C 0.915 -1.409 13.041
C 4.180 -1.409 6.526
```

Below is an optimized crystal structure of Ta2OsW, with properties calculated at the GGA-PBE level.

Calculated values
**Final energy**: -0.451 hartree per atom
**ΔE_f**: -0.294 eV per atom
**E above lowest polymorph**: 2.2 kJ/mol of formula units
**Calculated volume**: 16.54 Å³/atom

```
4
Lattice="4.548 0.000 0.000 0.000 4.548 0.000 0.000 0.000 3.198" Properties=species:S:1:pos:R:3 pbc="T T T"
Ta 0.000 2.274 0.000
Ta 2.274 0.000 0.000
Os 0.000 0.000 1.599
W 2.274 2.274 1.599
```

Below is an optimized crystal structure of Sc2CuPb2Au, with properties calculated at the GGA-PBE level.

Calculated values
**Final energy**: -0.181 hartree per atom
**Calculated volume**: 22.84 Å³/atom

```
24
Lattice="7.968 0.000 0.000 0.000 4.585 0.000 -2.589 0.000 15.007" Properties=species:S:1:pos:R:3 pbc="T T T"
Sc 0.000 0.000 0.000
Sc -1.284 2.292 7.491
Sc 1.350 2.292 3.727
Sc 0.055 0.000 11.343
Sc 3.963 2.292 0.005
Sc 2.684 0.000 7.495
Sc 5.309 0.000 3.719
Sc 4.022 2.292 11.336
Cu 1.357 2.292 6.542
Cu 0.058 0.000 14.104
Cu 3.976 2.292 2.795
Cu 4.038 2.292 14.092
Pb -1.275 2.292 13.275
Pb 0.125 0.000 5.683
Pb 1.369 2.292 9.275
Pb 2.754 0.000 1.843
Pb 3.905 2.292 5.536
Pb 2.709 0.000 13.271
Pb 6.536 2.292 1.811
Pb 5.348 0.000 9.390
Au 0.017 0.000 2.804
Au -1.269 2.292 10.382
Au 2.682 0.000 10.376
Au 5.341 0.000 6.528
```

Below is an optimized crystal structure of SmSiAg, with properties calculated at the GGA-PBE level.

Calculated values
**Final energy**: -0.170 hartree per atom
**Calculated volume**: 21.09 Å³/atom

```
9
Lattice="7.187 0.000 0.000 -3.594 6.224 0.000 0.000 0.000 4.242" Properties=species:S:1:pos:R:3 pbc="T T T"
Sm -2.137 3.702 0.000
Sm 1.456 2.522 0.000
Sm 4.275 0.000 0.000
Si -0.914 1.584 2.121
Si 1.829 0.000 2.121
Si 2.679 4.640 2.121
Ag 0.000 0.000 0.000
Ag 0.000 4.149 2.121
Ag 3.594 2.075 2.121
```

Below is an optimized crystal structure of CuC32N8Cl16, with properties calculated at the GGA-PBE level.

Calculated values
**Final energy**: -0.252 hartree per atom
**Calculated volume**: 15.41 Å³/atom

```
57
Lattice="8.831 -13.056 0.000 8.831 13.056 0.000 -0.360 0.000 3.809" Properties=species:S:1:pos:R:3 pbc="T T T"
Cu 0.000 0.000 0.000
C 7.784 10.287 0.394
C 2.189 1.120 2.734
C 8.160 8.886 0.223
C 7.466 7.685 0.413
C 9.518 10.287 3.415
C 2.189 -1.120 2.734
C 3.485 0.707 2.205
C 9.141 8.886 3.586
C 8.152 6.474 0.196
C 4.608 1.427 1.775
C 3.485 -0.707 2.205
C 9.836 7.685 3.395
C 9.150 6.474 3.612
C 5.750 0.706 1.378
C 4.608 -1.427 1.775
C 5.750 -0.706 1.378
C 11.552 0.706 2.431
C 12.694 1.427 2.034
C 11.552 -0.706 2.431
C 8.152 -6.474 0.196
C 7.466 -7.685 0.413
C 13.816 0.707 1.604
C 12.694 -1.427 2.034
C 9.150 -6.474 3.612
C 8.160 -8.886 0.223
C 13.816 -0.707 1.604
C 15.113 1.120 1.075
C 7.784 -10.287 0.394
C 9.836 -7.685 3.395
C 9.141 -8.886 3.586
C 15.113 -1.120 1.075
C 9.518 -10.287 3.415
N 1.850 2.386 2.917
N 8.831 11.090 0.000
N 1.439 0.000 3.021
N 1.850 -2.386 2.917
N 15.452 2.386 0.892
N 15.862 0.000 0.787
N 8.831 -11.090 0.000
N 15.452 -2.386 0.892
Cl 5.821 7.638 0.866
Cl 4.630 3.128 1.715
Cl 7.340 4.991 0.418
Cl 7.155 1.545 0.892
Cl 11.480 7.638 2.943
Cl 4.630 -3.128 1.715
Cl 9.961 4.991 3.391
Cl 7.155 -1.545 0.892
Cl 10.146 1.545 2.916
Cl 7.340 -4.991 0.418
Cl 12.671 3.128 2.094
Cl 5.821 -7.638 0.866
Cl 10.146 -1.545 2.916
Cl 9.961 -4.991 3.391
Cl 12.671 -3.128 2.094
Cl 11.480 -7.638 2.943
```

Below is an optimized crystal structure of FeAgB4, with properties calculated at the GGA-PBE level.

Calculated values
**Final energy**: -0.217 hartree per atom
**E above lowest polymorph**: 98.1 kJ/mol of formula units
**Calculated volume**: 9.42 Å³/atom

```
6
Lattice="-1.506 2.611 3.592 1.506 -2.611 3.592 1.506 2.611 -3.592" Properties=species:S:1:pos:R:3 pbc="T T T"
Fe 0.000 0.000 0.000
Ag 0.000 0.000 3.592
B 1.506 -0.885 1.706
B 1.506 0.885 1.706
B 0.000 1.726 1.886
B 0.000 3.496 1.886
```

Below is an optimized crystal structure of TbGa2NiAg, with properties calculated at the GGA-PBE level.

Calculated values
**Final energy**: -0.159 hartree per atom
**Calculated volume**: 18.14 Å³/atom

```
10
Lattice="4.157 0.000 0.000 0.000 4.157 0.000 0.000 0.000 10.496" Properties=species:S:1:pos:R:3 pbc="T T T"
Tb 1.039 1.039 2.384
Tb 3.118 3.118 8.111
Ga 1.039 1.039 6.947
Ga 1.039 3.118 0.000
Ga 3.118 1.039 0.000
Ga 3.118 3.118 3.549
Ni 1.039 1.039 9.251
Ni 3.118 3.118 1.245
Ag 1.039 3.118 5.248
Ag 3.118 1.039 5.248
```

Below is an optimized crystal structure of Co2W, with properties calculated at the GGA-PBE level.

Calculated values
**Final energy**: -0.317 hartree per atom
**ΔE_f**: 0.442 eV per atom
**Calculated volume**: 13.19 Å³/atom

```
12
Lattice="2.578 -4.106 0.000 2.578 4.106 0.000 0.000 0.000 7.475" Properties=species:S:1:pos:R:3 pbc="T T T"
Co 0.000 0.000 0.000
Co 0.000 0.000 3.738
Co 2.578 2.740 5.607
Co 2.578 1.240 0.533
Co 2.578 1.240 3.205
Co 2.578 -1.240 4.271
Co 2.578 -1.240 6.943
Co 2.578 -2.740 1.869
W 1.324 0.777 5.607
W 1.324 -0.777 1.869
W 3.831 0.777 5.607
W 3.831 -0.777 1.869
```

Below is an optimized crystal structure of MoBr, with properties calculated at the GGA-PBE level.

Calculated values
**Final energy**: -0.182 hartree per atom
**E above lowest polymorph**: 92.7 kJ/mol of formula units
**Calculated volume**: 23.07 Å³/atom

```
2
Lattice="0.000 2.847 2.847 2.847 0.000 2.847 2.847 2.847 0.000" Properties=species:S:1:pos:R:3 pbc="T T T"
Mo 0.000 0.000 0.000
Br 1.423 1.423 1.423
```

Below is an optimized crystal structure of Al2FeNi, with properties calculated at the GGA-PBE level.

Calculated values
**Final energy**: -0.203 hartree per atom
**Calculated volume**: 13.57 Å³/atom

```
16
Lattice="6.324 0.000 0.000 0.000 6.877 0.000 0.000 0.000 4.992" Properties=species:S:1:pos:R:3 pbc="T T T"
Al 1.231 0.324 0.499
Al 1.231 3.114 0.499
Al 1.931 3.763 2.995
Al 1.931 6.553 2.995
Al 4.393 0.324 1.997
Al 4.393 3.114 1.997
Al 5.093 3.763 4.493
Al 5.093 6.553 4.493
Fe 0.088 1.719 3.116
Fe 3.074 5.158 0.620
Fe 3.250 1.719 4.372
Fe 6.236 5.158 1.876
Ni 0.713 5.158 4.421
Ni 2.449 1.719 1.925
Ni 3.875 5.158 3.067
Ni 5.611 1.719 0.571
```

Below is an optimized crystal structure of HoBeGa, with properties calculated at the GGA-PBE level.

Calculated values
**Final energy**: -0.142 hartree per atom
**E above lowest polymorph**: 61.6 kJ/mol of formula units
**Calculated volume**: 20.54 Å³/atom

```
3
Lattice="0.000 3.135 3.135 3.135 0.000 3.135 3.135 3.135 0.000" Properties=species:S:1:pos:R:3 pbc="T T T"
Ho 0.000 0.000 0.000
Be 3.135 3.135 3.135
Ga 4.702 4.702 4.702
```

Below is an optimized crystal structure of Hf4AsC2S, with properties calculated at the GGA-PBE level.

Calculated values
**Final energy**: -0.351 hartree per atom
**Calculated volume**: 15.41 Å³/atom

```
8
Lattice="3.397 0.000 0.000 -1.699 2.942 0.000 0.000 0.000 12.334" Properties=species:S:1:pos:R:3 pbc="T T T"
Hf 0.000 0.000 1.809
Hf 0.000 0.000 10.525
Hf 0.000 1.962 4.240
Hf 0.000 1.962 8.095
As 0.000 0.000 6.167
C 1.699 0.981 3.012
C 1.699 0.981 9.323
S 0.000 1.962 0.000
```

Below is an optimized crystal structure of AcTbPu, with properties calculated at the GGA-PBE level.

Calculated values
**Final energy**: -0.252 hartree per atom
**ΔE_f**: 0.771 eV per atom
**E above lowest polymorph**: 0.0 kJ/mol of formula units
**Calculated volume**: 36.74 Å³/atom

```
3
Lattice="0.000 3.805 3.805 3.805 0.000 3.805 3.805 3.805 0.000" Properties=species:S:1:pos:R:3 pbc="T T T"
Ac 0.000 0.000 0.000
Tb 3.805 3.805 3.805
Pu 5.708 5.708 5.708
```

Below is an optimized crystal structure of BaZn3Ag4, with properties calculated at the GGA-PBE level.

Calculated values
**Final energy**: -0.080 hartree per atom
**Calculated volume**: 22.66 Å³/atom

```
8
Lattice="5.947 0.000 0.000 0.000 4.525 0.000 -0.984 0.000 6.736" Properties=species:S:1:pos:R:3 pbc="T T T"
Ba 0.000 0.000 0.000
Zn 0.364 2.262 3.974
Zn 2.884 0.000 1.542
Zn 3.502 2.262 4.397
Ag 1.896 0.000 4.210
Ag 1.774 2.262 6.332
Ag 4.270 2.262 1.900
Ag 4.957 0.000 3.439
```

Below is an optimized crystal structure of Rb2CdBr4, with properties calculated at the GGA-PBE level.

Calculated values
**Final energy**: -0.101 hartree per atom
**Calculated volume**: 40.72 Å³/atom

```
14
Lattice="7.980 0.000 0.000 0.000 7.803 0.000 -3.015 0.000 9.155" Properties=species:S:1:pos:R:3 pbc="T T T"
Rb 1.576 1.951 0.513
Rb 0.395 1.951 5.166
Rb 4.570 5.852 3.989
Rb 3.389 5.852 8.641
Cd -0.552 5.852 7.350
Cd 5.517 1.951 1.804
Br -2.191 0.043 6.792
Br -2.191 3.858 6.792
Br 3.105 5.852 0.731
Br 1.507 5.852 5.734
Br 3.458 1.951 3.421
Br 1.860 1.951 8.423
Br 7.156 3.945 2.362
Br 7.156 7.760 2.362
```